{
  "formula": "KSnMoSe2",
  "functional": "PBE",
  "state": "relaxed",
  "lattice_angstrom": [[5.567, 0.000, 0.000], [0.000, 5.567, 0.000], [0.000, 0.000, 5.337]],
  "species": ["K", "Sn", "Mo", "Se", "Se"],
  "fractional_positions": [[0.000, 0.000, 0.000], [0.500, 0.500, 0.500], [0.500, 0.500, 0.000], [0.000, 0.500, 0.500], [0.500, 0.000, 0.500]],
  "formation_energy_uncorrected_ev_per_atom": 0.5030,
  "total_energy_ev_per_fu": -20.39,
  "vol_a3_per_atom": 33.08
}


{
  "formula": "KTi2MoSe",
  "functional": "PBE",
  "state": "relaxed",
  "lattice_angstrom": [[4.487, 0.000, 0.000], [0.000, 4.487, 0.000], [0.000, 0.000, 5.263]],
  "species": ["K", "Ti", "Ti", "Mo", "Se"],
  "fractional_positions": [[0.000, 0.000, 0.000], [0.000, 0.500, 0.000], [0.500, 0.000, 0.000], [0.500, 0.500, 0.500], [0.000, 0.000, 0.500]],
  "formation_energy_uncorrected_ev_per_atom": 2.0963,
  "total_energy_ev_per_fu": -20.72,
  "vol_a3_per_atom": 21.19
}


{
  "formula": "K2TlMoSe4",
  "functional": "PBE",
  "state": "relaxed",
  "lattice_angstrom": [[8.307, 0.000, 0.000], [0.000, 8.307, 0.000], [0.000, 0.000, 8.294]],
  "species": ["K", "K", "K", "K", "Tl", "Tl", "Mo", "Mo", "Se", "Se", "Se", "Se", "Se", "Se", "Se", "Se"],
  "fractional_positions": [[0.000, 0.000, 0.000], [0.000, 0.500, 0.250], [0.500, 0.000, 0.750], [0.500, 0.500, 0.500], [0.000, 0.000, 0.500], [0.500, 0.500, 0.000], [0.000, 0.500, 0.750], [0.500, 0.000, 0.250], [0.162, 0.325, 0.591], [0.175, 0.662, 0.909], [0.325, 0.838, 0.409], [0.338, 0.175, 0.091], [0.662, 0.825, 0.091], [0.675, 0.162, 0.409], [0.825, 0.338, 0.909], [0.838, 0.675, 0.591]],
  "formation_energy_uncorrected_ev_per_atom": -0.6734,
  "total_energy_ev_per_fu": -34.72,
  "vol_a3_per_atom": 35.77
}


{
  "formula": "K2SiMo",
  "functional": "PBE",
  "state": "relaxed",
  "lattice_angstrom": [[3.785, 0.000, 0.000], [0.000, 4.143, 0.000], [0.000, 0.000, 11.706]],
  "species": ["K", "K", "K", "K", "Si", "Si", "Mo", "Mo"],
  "fractional_positions": [[0.000, 0.000, 0.235], [0.000, 0.000, 0.765], [0.500, 0.500, 0.235], [0.500, 0.500, 0.765], [0.000, 0.500, 0.000], [0.500, 0.000, 0.000], [0.000, 0.500, 0.500], [0.500, 0.000, 0.500]],
  "formation_energy_uncorrected_ev_per_atom": 1.1038,
  "total_energy_ev_per_fu": -14.03,
  "vol_a3_per_atom": 22.95
}


{
  "formula": "KSiMo",
  "functional": "PBE",
  "state": "relaxed",
  "lattice_angstrom": [[6.984, 0.000, 0.000], [0.000, 6.984, 0.000], [0.000, 0.000, 6.984]],
  "species": ["K", "K", "K", "K", "Si", "Si", "Si", "Si", "Mo", "Mo", "Mo", "Mo"],
  "fractional_positions": [[0.000, 0.000, 0.000], [0.000, 0.500, 0.500], [0.500, 0.000, 0.500], [0.500, 0.500, 0.000], [0.250, 0.250, 0.750], [0.250, 0.750, 0.250], [0.750, 0.250, 0.250], [0.750, 0.750, 0.750], [0.250, 0.250, 0.250], [0.250, 0.750, 0.750], [0.750, 0.250, 0.750], [0.750, 0.750, 0.250]],
  "formation_energy_uncorrected_ev_per_atom": 2.1426,
  "e_above_lowest_polymorph_mev_per_atom": 1734,
  "total_energy_ev_per_fu": -10.92,
  "vol_a3_per_atom": 28.39
}


{
  "formula": "K2SiMo",
  "functional": "PBE",
  "state": "relaxed",
  "lattice_angstrom": [[2.957, 0.000, 0.000], [-1.479, 2.561, 0.000], [0.000, 0.000, 35.833]],
  "species": ["K", "K", "K", "K", "K", "K", "Si", "Si", "Si", "Mo", "Mo", "Mo"],
  "fractional_positions": [[0.000, 0.000, 0.247], [0.000, 0.000, 0.753], [0.333, 0.667, 0.420], [0.333, 0.667, 0.913], [0.667, 0.333, 0.087], [0.667, 0.333, 0.580], [0.000, 0.000, 0.500], [0.333, 0.667, 0.167], [0.667, 0.333, 0.833], [0.000, 0.000, 0.000], [0.333, 0.667, 0.667], [0.667, 0.333, 0.333]],
  "formation_energy_uncorrected_ev_per_atom": 1.1599,
  "total_energy_ev_per_fu": -13.81,
  "vol_a3_per_atom": 22.62
}


For the records above, the corresponding D(E_F) values read 2.9 4.4 7.5 8.1 4.0 10.1 states/eV per cell.